Arrangement w

First-principles (PBE) data for an optimized crystal structure of CuBiCl3, as listed in the Alexandria database.

Structure (CIF):
```
data_CuBiCl3
_chemical_formula_sum 'Cu4 Bi4 Cl12'
_symmetry_space_group_name_H-M 'P 1 21/c 1'
_symmetry_Int_Tables_number 14
_cell_length_a 6.2825
_cell_length_b 7.7923
_cell_length_c 12.9141
_cell_angle_alpha 90.00
_cell_angle_beta 114.01
_cell_angle_gamma 90.00
loop_
_symmetry_equiv_pos_as_xyz
'x,y,z'
'-x,-y,-z'
'-x,y+1/2,-z+1/2'
'x,-y+1/2,z+1/2'
loop_
_atom_site_label
_atom_site_fract_x
_atom_site_fract_y
_atom_site_fract_z
Cu1 0.2228 0.1361 0.4142
Bi1 0.2484 0.6365 0.1981
Cl1 0.1136 0.5293 0.7531
Cl2 0.2641 0.1577 0.5950
Cl3 0.4483 0.7103 0.5769
```

Output
Its density of states at the Fermi level is 1.3 states/eV/f.u. For the total magnetization, the calculation gives 0.00 Bohr magnetons per cell.

Arrangement x

First-principles (PBE) data for an optimized crystal structure of CuBiCl3, as listed in the Alexandria database.

Structure (CIF):
```
data_CuBiCl3
_chemical_formula_sum 'Cu1 Bi1 Cl3'
_symmetry_space_group_name_H-M 'P m -3 m'
_symmetry_Int_Tables_number 221
_symmetry_space_group_name_Hall '-P 4 2 3'
_cell_length_a 4.7927
_cell_length_b 4.7927
_cell_length_c 4.7927
_cell_angle_alpha 90.00
_cell_angle_beta 90.00
_cell_angle_gamma 90.00
loop_
_atom_site_label
_atom_site_fract_x
_atom_site_fract_y
_atom_site_fract_z
Cu1 0.0000 0.0000 0.0000
Bi1 0.5000 0.5000 0.5000
Cl1 0.0000 0.0000 0.5000
```

Output
Its density of states at the Fermi level is 3.7 states/eV/f.u. For the total magnetization, the calculation gives 0.00 Bohr magnetons per cell.

Energy above the most stable structure, in kJ/mol of atoms: arrangement w 0.0; arrangement x 29.1